Record 1
Here is an optimized crystal structure of Al2Sn2Hg from Alexandria. Energies are from PBE-GGA.

The structure in POSCAR format:
```
Al2Sn2Hg
1.0
8.6241 0.0000 0.0000
0.0000 8.6241 0.0000
0.0000 0.0000 3.2128
Al Sn Hg
4 4 2
Direct
0.1330 0.3670 0.0000
0.3670 0.8670 0.0000
0.6330 0.1330 0.0000
0.8670 0.6330 0.0000
0.1605 0.6605 0.5000
0.3395 0.1605 0.5000
0.6605 0.8395 0.5000
0.8395 0.3395 0.5000
0.0000 0.0000 0.5000
0.5000 0.5000 0.5000
```

Summary:
Energy of formation from the pure elements ... 0.175 eV per atom
Relative energy among the computed polymorphs ... 31 meV/atom

---

Record 2
Here is an optimized crystal structure of Tb2PrTm3Bi6 from Alexandria. Energies are from PBE-GGA.

The structure in POSCAR format:
```
Tb2PrTm3Bi6
1.0
9.7771 -2.2452 0.0000
9.7771 2.2452 0.0000
-2.0426 0.0000 8.7401
Tb Pr Tm Bi
2 1 3 6
Direct
0.1674 0.1674 0.3334
0.8326 0.8326 0.6666
0.5000 0.5000 0.0000
0.1653 0.1653 0.8319
0.5000 0.5000 0.5000
0.8347 0.8347 0.1681
0.9998 0.9998 0.2596
0.0002 0.0002 0.7404
0.3295 0.3295 0.9181
0.3344 0.3344 0.4148
0.6656 0.6656 0.5852
0.6705 0.6705 0.0819
```

Summary:
Energy of formation from the pure elements ... -0.840 eV per atom

---

Record 3
Here is an optimized crystal structure of CsZn2AsIr from Alexandria. Energies are from PBE-GGA.

The structure in POSCAR format:
```
CsZn2AsIr
1.0
5.0774 0.0000 0.0000
0.0000 5.0774 0.0000
0.0000 0.0000 4.8041
Cs Zn As Ir
1 2 1 1
Direct
0.0000 0.0000 0.0000
0.0000 0.5000 0.5000
0.5000 0.0000 0.5000
0.5000 0.5000 0.0000
0.5000 0.5000 0.5000
```

Summary:
Energy of formation from the pure elements ... -0.086 eV per atom

---

Record 4
Here is an optimized crystal structure of CaLaPt2 from Alexandria. Energies are from PBE-GGA.

The structure in POSCAR format:
```
CaLaPt2
1.0
0.0000 3.4868 3.4868
3.4868 0.0000 3.4868
3.4868 3.4868 0.0000
Ca La Pt
1 1 2
Direct
0.0000 0.0000 0.0000
0.7500 0.7500 0.7500
0.2500 0.2500 0.2500
0.5000 0.5000 0.5000
```

Summary:
Energy of formation from the pure elements ... -0.644 eV per atom

---

Record 5
Here is an optimized crystal structure of Ti2Zn3Pt2 from Alexandria. Energies are from PBE-GGA.

The structure in POSCAR format:
```
Ti2Zn3Pt2
1.0
2.2360 1.2910 6.3649
-2.2360 1.2910 6.3649
0.0000 -2.5819 6.3649
Ti Zn Pt
2 3 2
Direct
0.2202 0.2202 0.2202
0.7798 0.7798 0.7798
0.3665 0.3665 0.3665
0.5000 0.5000 0.5000
0.6335 0.6335 0.6335
0.0873 0.0873 0.0873
0.9127 0.9127 0.9127
```

Summary:
Energy of formation from the pure elements ... -0.527 eV per atom

---

Record 6
Here is an optimized crystal structure of MgTlHgPb from Alexandria. Energies are from PBE-GGA.

The structure in POSCAR format:
```
MgTlHgPb
1.0
0.0000 3.8020 3.8020
3.8020 0.0000 3.8020
3.8020 3.8020 0.0000
Mg Tl Hg Pb
1 1 1 1
Direct
0.0000 0.0000 0.0000
0.5000 0.5000 0.5000
0.7500 0.7500 0.7500
0.2500 0.2500 0.2500
```

Summary:
Energy of formation from the pure elements ... 0.046 eV per atom
Relative energy among the computed polymorphs ... 106 meV/atom

---

Record 7
Here is an optimized crystal structure of Cs3Na2Hg4 from Alexandria. Energies are from PBE-GGA.

The structure in POSCAR format:
```
Cs3Na2Hg4
1.0
6.8795 -2.6988 0.0000
6.8795 2.6988 0.0000
-2.0884 0.0000 10.7663
Cs Na Hg
3 2 4
Direct
0.0000 0.0000 0.0000
0.3770 0.3770 0.6205
0.6230 0.6230 0.3795
0.3205 0.3205 0.2146
0.6795 0.6795 0.7854
0.0871 0.0871 0.6414
0.2643 0.2643 0.9189
0.7357 0.7357 0.0811
0.9129 0.9129 0.3586
```

Summary:
Energy of formation from the pure elements ... -0.217 eV per atom

---

Record 8
Here is an optimized crystal structure of Ni2AgAu2 from Alexandria. Energies are from PBE-GGA.

The structure in POSCAR format:
```
Ni2AgAu2
1.0
7.5270 0.0000 0.0000
0.0000 7.5270 0.0000
0.0000 0.0000 2.8059
Ni Ag Au
4 2 4
Direct
0.1555 0.3445 0.0000
0.3445 0.8445 0.0000
0.6555 0.1555 0.0000
0.8445 0.6555 0.0000
0.0000 0.0000 0.5000
0.5000 0.5000 0.5000
0.1412 0.6412 0.5000
0.3588 0.1412 0.5000
0.6412 0.8588 0.5000
0.8588 0.3588 0.5000
```

Summary:
Energy of formation from the pure elements ... 0.209 eV per atom
Relative energy among the computed polymorphs ... 46 meV/atom